Record 1
Density functional theory data (GGA-PBE) for a relaxed NpOs2O8 crystal.

Summary:
* total DFT energy (no corrections): -90.659 eV for the cell shown
* magnetization: 1.09 μB/f.u.
* density of states at the Fermi level: 6.23 states/eV/f.u.
* space-group type: No. 8

Lattice parameters (Å, degrees): 5.8397 5.4180 5.4180 95.93 104.96 104.96
Sites, in units of the cell vectors:
Np  0.0908  0.9559  0.9559
Os  0.5910  0.6578  0.2596
Os  0.5910  0.2596  0.6578
O  0.5906  0.4544  0.9606
O  0.5906  0.9606  0.4544
O  0.3771  0.3480  0.3480
O  0.8935  0.2011  0.8757
O  0.8935  0.8757  0.2011
O  0.8051  0.5742  0.5742
O  0.2883  0.0360  0.7107
O  0.2883  0.7107  0.0360

***

Record 2
Density functional theory data (GGA-PBE) for a relaxed NpOsO5 crystal.

Summary:
* total DFT energy (no corrections): -122.650 eV for the cell shown
* magnetization: 1.32 μB/f.u.
* density of states at the Fermi level: 6.49 states/eV/f.u.
* space-group type: No. 15

Lattice parameters (Å, degrees): 5.4690 5.4690 8.2724 66.38 66.38 69.56
Sites, in units of the cell vectors:
Np  0.0000  0.0000  0.0000
Np  0.0000  0.0000  0.5000
Os  0.5242  0.4758  0.7500
Os  0.4758  0.5242  0.2500
O  0.2799  0.2237  0.8589
O  0.3302  0.7081  0.5808
O  0.2237  0.2799  0.3589
O  0.8328  0.1672  0.7500
O  0.2919  0.6698  0.9192
O  0.7081  0.3302  0.0808
O  0.1672  0.8328  0.2500
O  0.7763  0.7201  0.6411
O  0.6698  0.2919  0.4192
O  0.7201  0.7763  0.1411

***

Record 3
Density functional theory data (GGA-PBE) for a relaxed NpPOsO crystal.

Summary:
* total DFT energy (no corrections): -81.349 eV for the cell shown
* magnetization: 3.63 μB/f.u.
* density of states at the Fermi level: 6.40 states/eV/f.u.
* space-group type: No. 129

Lattice parameters (Å, degrees): 4.0015 4.0015 7.7760 90.00 90.00 90.00
Sites, in units of the cell vectors:
Np  0.0000  0.5000  0.8489
Np  0.5000  0.0000  0.1511
P  0.5000  0.0000  0.6573
P  0.0000  0.5000  0.3427
Os  0.0000  0.0000  0.5000
Os  0.5000  0.5000  0.5000
O  0.5000  0.5000  0.0000
O  0.0000  0.0000  0.0000

***

Record 4
Density functional theory data (GGA-PBE) for a relaxed NpOsRhO6 crystal.

Summary:
* total DFT energy (no corrections): -151.475 eV for the cell shown
* magnetization: 0.05 μB/f.u.
* density of states at the Fermi level: 4.79 states/eV/f.u.
* space-group type: No. 163

Lattice parameters (Å, degrees): 5.1327 5.1327 9.3180 90.00 90.00 120.00
Sites, in units of the cell vectors:
Np  0.6667  0.3333  0.2500
Np  0.3333  0.6667  0.7500
Os  0.3333  0.6667  0.2500
Os  0.6667  0.3333  0.7500
Rh  0.0000  0.0000  0.0000
Rh  0.0000  0.0000  0.5000
O  0.6613  0.6741  0.1256
O  0.0128  0.3387  0.1256
O  0.3387  0.0128  0.6256
O  0.9872  0.6613  0.8744
O  0.3259  0.3387  0.3744
O  0.0128  0.6741  0.3744
O  0.6741  0.0128  0.8744
O  0.6613  0.9872  0.3744
O  0.9872  0.3259  0.6256
O  0.3259  0.9872  0.1256
O  0.6741  0.6613  0.6256
O  0.3387  0.3259  0.8744

***

Record 5
Density functional theory data (GGA-PBE) for a relaxed Np2PO crystal.

Summary:
* total DFT energy (no corrections): -42.365 eV for the cell shown
* magnetization: 7.50 μB/f.u.
* density of states at the Fermi level: 9.15 states/eV/f.u.
* energy relative to the lowest polymorph listed for this composition: 0.0000 eV/atom
* space-group type: No. 166

Lattice parameters (Å, degrees): 3.6924 3.6924 6.3855 73.19 73.19 60.00
Sites, in units of the cell vectors:
Np  0.7620  0.7620  0.7139
Np  0.2380  0.2380  0.2861
P  0.0000  0.0000  0.0000
O  0.5000  0.5000  0.5000

***

Record 6
Density functional theory data (GGA-PBE) for a relaxed Np2PO crystal.

Summary:
* total DFT energy (no corrections): -40.521 eV for the cell shown
* magnetization: 8.73 μB/f.u.
* density of states at the Fermi level: 7.69 states/eV/f.u.
* energy relative to the lowest polymorph listed for this composition: 0.4612 eV/atom
* space-group type: No. 123

Lattice parameters (Å, degrees): 3.2138 3.2138 6.5138 90.00 90.00 90.00
Sites, in units of the cell vectors:
Np  0.0000  0.0000  0.7648
Np  0.0000  0.0000  0.2352
P  0.5000  0.5000  0.5000
O  0.5000  0.5000  0.0000

***

Record 7
Density functional theory data (GGA-PBE) for a relaxed NpPO crystal.

Summary:
* total DFT energy (no corrections): -26.415 eV for the cell shown
* magnetization: 2.00 μB/f.u.
* density of states at the Fermi level: 8.01 states/eV/f.u.
* energy relative to the lowest polymorph listed for this composition: 0.4880 eV/atom
* space-group type: No. 216

Lattice parameters (Å, degrees): 4.1975 4.1975 4.1975 60.00 60.00 60.00
Sites, in units of the cell vectors:
Np  0.2500  0.2500  0.2500
P  0.0000  0.0000  0.0000
O  0.5000  0.5000  0.5000

***

Record 8
Density functional theory data (GGA-PBE) for a relaxed Np4P3O crystal.

Summary:
* total DFT energy (no corrections): -82.399 eV for the cell shown
* magnetization: 14.87 μB/f.u.
* density of states at the Fermi level: 20.25 states/eV/f.u.
* space-group type: No. 166

Lattice parameters (Å, degrees): 3.7886 3.7886 12.9087 81.56 81.56 60.00
Sites, in units of the cell vectors:
Np  0.6339  0.6339  0.0983
Np  0.8782  0.8782  0.3654
Np  0.3661  0.3661  0.9017
Np  0.1218  0.1218  0.6346
P  0.7434  0.7434  0.7699
P  0.5000  0.5000  0.5000
P  0.2566  0.2566  0.2301
O  0.0000  0.0000  0.0000

***

Record 9
Density functional theory data (GGA-PBE) for a relaxed NpPO4 crystal.

Summary:
* total DFT energy (no corrections): -106.702 eV for the cell shown
* magnetization: 4.00 μB/f.u.
* density of states at the Fermi level: 5.38 states/eV/f.u.
* space-group type: No. 63

Lattice parameters (Å, degrees): 4.9254 4.9254 7.9141 90.00 90.00 113.05
Sites, in units of the cell vectors:
Np  0.0000  0.0000  0.0000
Np  0.0000  0.0000  0.5000
P  0.3739  0.6261  0.7500
P  0.6261  0.3739  0.2500
O  0.7243  0.2757  0.0844
O  0.2757  0.7243  0.5844
O  0.2757  0.7243  0.9156
O  0.7243  0.2757  0.4156
O  0.2799  0.2451  0.2500
O  0.7201  0.7549  0.7500
O  0.2451  0.2799  0.7500
O  0.7549  0.7201  0.2500

***

Record 10
Density functional theory data (GGA-PBE) for a relaxed NpPO5 crystal.

Summary:
* total DFT energy (no corrections): -244.953 eV for the cell shown
* magnetization: 2.00 μB/f.u.
* density of states at the Fermi level: 5.64 states/eV/f.u.
* space-group type: No. 62

Lattice parameters (Å, degrees): 6.9221 7.8870 7.9695 90.00 90.00 90.00
Sites, in units of the cell vectors:
Np  0.7500  0.2509  0.8742
Np  0.2500  0.7509  0.6258
Np  0.7500  0.2491  0.3742
Np  0.2500  0.7491  0.1258
P  0.7500  0.6258  0.1247
P  0.2500  0.1258  0.3753
P  0.7500  0.8742  0.6247
P  0.2500  0.3742  0.8753
O  0.4319  0.2612  0.8756
O  0.0681  0.2612  0.8756
O  0.5681  0.7388  0.1244
O  0.9319  0.7388  0.1244
O  0.4319  0.2388  0.3756
O  0.5681  0.7612  0.6244
O  0.9319  0.7612  0.6244
O  0.0681  0.2388  0.3756
O  0.2500  0.8153  0.8754
O  0.7500  0.1847  0.1246
O  0.2500  0.6847  0.3754
O  0.7500  0.3153  0.6246
O  0.2500  0.0111  0.2163
O  0.7500  0.5111  0.2837
O  0.7500  0.9889  0.7837
O  0.2500  0.4889  0.7163
O  0.2500  0.0124  0.5360
O  0.2500  0.4876  0.0360
O  0.7500  0.9876  0.4640
O  0.7500  0.5124  0.9640

***

Record 11
Density functional theory data (GGA-PBE) for a relaxed NpP3O12 crystal.

Summary:
* total DFT energy (no corrections): -232.779 eV for the cell shown
* magnetization: 2.01 μB/f.u.
* density of states at the Fermi level: 4.45 states/eV/f.u.
* space-group type: No. 161

Lattice parameters (Å, degrees): 8.2960 8.2960 9.1549 63.06 63.06 60.00
Sites, in units of the cell vectors:
Np  0.0537  0.0537  0.8390
Np  0.5537  0.5537  0.3390
P  0.6881  0.3609  0.9989
P  0.1881  0.4521  0.4989
P  0.8609  0.1881  0.4989
P  0.3609  0.9521  0.9989
P  0.9521  0.6881  0.9989
P  0.4521  0.8609  0.4989
O  0.1330  0.0642  0.0298
O  0.1837  0.2636  0.6562
O  0.9683  0.9936  0.4638
O  0.8534  0.4145  0.8425
O  0.3534  0.3896  0.3425
O  0.4683  0.0742  0.9638
O  0.6837  0.3965  0.1562
O  0.9936  0.5742  0.4638
O  0.6330  0.2730  0.5298
O  0.8965  0.1837  0.6562
O  0.9145  0.3534  0.3425
O  0.2730  0.5642  0.5298
O  0.0742  0.4936  0.9638
O  0.7730  0.1330  0.0298
O  0.4145  0.8896  0.8425
O  0.3965  0.7636  0.1562
O  0.7636  0.6837  0.1562
O  0.4936  0.4683  0.9638
O  0.5642  0.6330  0.5298
O  0.8896  0.8534  0.8425
O  0.3896  0.9145  0.3425
O  0.0642  0.7730  0.0298
O  0.2636  0.8965  0.6562
O  0.5742  0.9683  0.4638

***

Record 12
Density functional theory data (GGA-PBE) for a relaxed NpP3O9 crystal.

Summary:
* total DFT energy (no corrections): -207.646 eV for the cell shown
* magnetization: 4.00 μB/f.u.
* density of states at the Fermi level: 6.39 states/eV/f.u.
* space-group type: No. 9

Lattice parameters (Å, degrees): 6.9537 8.1717 9.0044 74.87 67.29 64.82
Sites, in units of the cell vectors:
Np  0.0178  0.4977  0.9972
Np  0.4873  0.9977  0.4972
P  0.8131  0.5247  0.6607
P  0.0015  0.0247  0.1607
P  0.9897  0.9694  0.8417
P  0.1992  0.4694  0.3417
P  0.5995  0.2557  0.7281
P  0.4166  0.7557  0.2281
O  0.3376  0.2696  0.3429
O  0.0499  0.7696  0.8429
O  0.4093  0.3630  0.8591
O  0.3686  0.8630  0.3591
O  0.1588  0.0507  0.7272
O  0.0634  0.5507  0.2272
O  0.6481  0.6958  0.1103
O  0.5458  0.1958  0.6103
O  0.8513  0.9717  0.3209
O  0.8562  0.4717  0.8209
O  0.6394  0.7066  0.6321
O  0.0218  0.2066  0.1321
O  0.3615  0.5745  0.3110
O  0.7529  0.0745  0.8110
O  0.7628  0.3666  0.6225
O  0.2480  0.8666  0.1225
O  0.9165  0.0115  0.0240
O  0.0480  0.5115  0.5240

***

Record 13
Density functional theory data (GGA-PBE) for a relaxed NpPO6 crystal.

Summary:
* total DFT energy (no corrections): -64.551 eV for the cell shown
* magnetization: 0.00 μB/f.u.
* energy relative to the lowest polymorph listed for this composition: 0.0000 eV/atom
* space-group type: No. 148

Lattice parameters (Å, degrees): 5.1319 5.1318 5.2276 60.61 60.61 60.00
Sites, in units of the cell vectors:
Np  0.5000  0.5000  0.5000
P  0.0000  0.0000  0.0000
O  0.1544  0.3000  0.7720
O  0.7736  0.1544  0.7720
O  0.7000  0.2264  0.2281
O  0.2264  0.8456  0.2280
O  0.8456  0.7000  0.2280
O  0.3000  0.7736  0.7719

***

Record 14
Density functional theory data (GGA-PBE) for a relaxed NpPO6 crystal.

Summary:
* total DFT energy (no corrections): -63.616 eV for the cell shown
* magnetization: 0.06 μB/f.u.
* energy relative to the lowest polymorph listed for this composition: 0.1169 eV/atom
* space-group type: No. 2

Lattice parameters (Å, degrees): 11.5343 5.3342 4.7257 85.13 133.13 55.01
Sites, in units of the cell vectors:
Np  0.5000  0.5000  0.5000
P  0.0000  0.0000  0.0000
O  0.9153  0.8370  0.0404
O  0.2343  0.7664  0.6967
O  0.0847  0.1630  0.9596
O  0.6695  0.5787  0.5573
O  0.7657  0.2336  0.3033
O  0.3305  0.4213  0.4427

***

Record 15
Density functional theory data (GGA-PBE) for a relaxed NpPO crystal.

Summary:
* total DFT energy (no corrections): -111.515 eV for the cell shown
* magnetization: 1.99 μB/f.u.
* density of states at the Fermi level: 7.18 states/eV/f.u.
* energy relative to the lowest polymorph listed for this composition: 0.0000 eV/atom
* space-group type: No. 62

Lattice parameters (Å, degrees): 3.8587 6.1144 9.5677 90.00 90.00 90.00
Sites, in units of the cell vectors:
O  0.2500  0.9522  0.5801
O  0.2500  0.5478  0.0801
O  0.7500  0.0478  0.4199
O  0.7500  0.4522  0.9199
P  0.2500  0.4686  0.6412
P  0.2500  0.0314  0.1412
P  0.7500  0.5314  0.3588
P  0.7500  0.9686  0.8588
Np  0.2500  0.2888  0.9119
Np  0.2500  0.2112  0.4119
Np  0.7500  0.7112  0.0881
Np  0.7500  0.7888  0.5881

***

Record 16
Density functional theory data (GGA-PBE) for a relaxed Np2PO crystal.

Summary:
* total DFT energy (no corrections): -41.522 eV for the cell shown
* magnetization: 8.08 μB/f.u.
* density of states at the Fermi level: 8.01 states/eV/f.u.
* energy relative to the lowest polymorph listed for this composition: 0.2107 eV/atom
* space-group type: No. 160

Lattice parameters (Å, degrees): 3.6217 3.6217 6.8058 74.57 74.57 60.00
Sites, in units of the cell vectors:
Np  0.0922  0.0922  0.7233
Np  0.2451  0.2451  0.2647
P  0.6699  0.6699  0.9904
O  0.4928  0.4928  0.5217

***

Record 17
Density functional theory data (GGA-PBE) for a relaxed NpPaPO2 crystal.

Summary:
* total DFT energy (no corrections): -49.540 eV for the cell shown
* magnetization: 4.85 μB/f.u.
* density of states at the Fermi level: 6.69 states/eV/f.u.
* space-group type: No. 107

Lattice parameters (Å, degrees): 3.7603 3.7603 6.4414 106.97 106.97 90.00
Sites, in units of the cell vectors:
Np  0.1306  0.1306  0.2612
Pa  0.8622  0.8622  0.7244
P  0.4990  0.4990  0.9981
O  0.7541  0.2541  0.5081
O  0.2541  0.7541  0.5081

***

Record 18
Density functional theory data (GGA-PBE) for a relaxed NpPPdO crystal.

Summary:
* total DFT energy (no corrections): -69.491 eV for the cell shown
* magnetization: 3.28 μB/f.u.
* density of states at the Fermi level: 9.05 states/eV/f.u.
* space-group type: No. 129

Lattice parameters (Å, degrees): 3.9168 3.9168 8.1532 90.00 90.00 90.00
Sites, in units of the cell vectors:
Np  0.0000  0.5000  0.8497
Np  0.5000  0.0000  0.1503
P  0.5000  0.0000  0.6800
P  0.0000  0.5000  0.3200
Pd  0.0000  0.0000  0.5000
Pd  0.5000  0.5000  0.5000
O  0.5000  0.5000  0.0000
O  0.0000  0.0000  0.0000

***

Record 19
Density functional theory data (GGA-PBE) for a relaxed PmNpPO2 crystal.

Summary:
* total DFT energy (no corrections): -44.765 eV for the cell shown
* magnetization: 3.00 μB/f.u.
* density of states at the Fermi level: 9.51 states/eV/f.u.
* space-group type: No. 107

Lattice parameters (Å, degrees): 3.7854 3.7854 6.6385 106.57 106.57 90.00
Sites, in units of the cell vectors:
Pm  0.8596  0.8596  0.7193
Np  0.1470  0.1470  0.2940
P  0.5048  0.5048  0.0097
O  0.7443  0.2443  0.4885
O  0.2443  0.7443  0.4885

***

Record 20
Density functional theory data (GGA-PBE) for a relaxed PrNpP2O8 crystal.

Summary:
* total DFT energy (no corrections): -100.112 eV for the cell shown
* magnetization: 4.00 μB/f.u.
* density of states at the Fermi level: 9.90 states/eV/f.u.
* space-group type: No. 164

Lattice parameters (Å, degrees): 5.3263 5.3263 7.3982 90.00 90.00 120.00
Sites, in units of the cell vectors:
Pr  0.0000  0.0000  0.0000
Np  0.0000  0.0000  0.5000
P  0.6667  0.3333  0.1970
P  0.3333  0.6667  0.8030
O  0.3333  0.6667  0.0095
O  0.3495  0.1752  0.2692
O  0.8248  0.1743  0.2692
O  0.6667  0.3333  0.9905
O  0.1752  0.8257  0.7308
O  0.6505  0.8248  0.7308
O  0.1743  0.3495  0.7308
O  0.8257  0.6505  0.2692

***

Theoretical density per entry: 7.9 8.3 12.6 9.8 12.2 12.9 9.0 11.1 6.2 5.3 3.7 3.7 6.2 5.8 8.4 11.8 10.6 10.4 8.5 5.2 g cm⁻³
Energy relative to the elements, uncorrected per entry: -1.418 -1.766 -1.534 -1.607 -1.529 -1.068 -1.035 -1.181 -2.528 -2.585 -1.733 -2.310 -2.056 -1.939 -1.523 -1.318 -2.355 -1.561 -2.349 -2.659 eV/atom